Density functional theory data (GGA-PBE) for SmDy4Er10 after structural relaxation.

```
SmDy4Er10
1.0
-6.038 6.038 3.810
6.038 -6.038 3.810
6.038 6.038 -3.810
Sm Dy Er
1 4 10
Direct
0.000 0.000 0.000
0.200 0.600 0.800
0.400 0.200 0.600
0.600 0.800 0.400
0.800 0.400 0.200
0.050 0.150 0.698
0.150 0.452 0.101
0.250 0.750 0.500
0.351 0.050 0.899
0.452 0.351 0.302
0.548 0.649 0.698
0.649 0.950 0.101
0.750 0.250 0.500
0.850 0.548 0.899
0.950 0.850 0.302
```

**Symmetry**: I4/m
**ΔE_f**: 739 meV per atom


Density functional theory data (GGA-PBE) for Ba6Na2PtAu after structural relaxation.

```
Ba6Na2PtAu
1.0
8.955 0.000 0.000
0.000 8.981 0.000
-8.940 0.000 12.802
Ba Na Pt Au
12 4 2 2
Direct
0.198 0.209 0.478
0.198 0.291 0.978
0.271 0.720 0.479
0.271 0.780 0.979
0.300 0.501 0.755
0.300 0.999 0.255
0.700 0.001 0.745
0.700 0.499 0.245
0.729 0.220 0.021
0.729 0.280 0.521
0.802 0.709 0.022
0.802 0.791 0.522
0.240 0.026 0.750
0.240 0.474 0.250
0.760 0.526 0.750
0.760 0.974 0.250
0.500 0.000 0.500
0.500 0.500 0.000
0.000 0.000 0.000
0.000 0.500 0.500
```

**Symmetry**: P2_1/c
**ΔE_f**: -360 meV per atom


Density functional theory data (GGA-PBE) for GeWI2N after structural relaxation.

```
GeWI2N
1.0
5.819 0.000 0.000
0.000 5.819 0.000
0.000 0.000 3.510
Ge W I N
1 1 2 1
Direct
0.000 0.000 0.000
0.500 0.500 0.500
0.000 0.500 0.000
0.500 0.000 0.000
0.000 0.000 0.500
```

**E_form (uncorrected)**: 1.4964 eV/atom
**E above lowest polymorph**: 4.61 eV/f.u.
**Symmetry**: P4/mmm


Density functional theory data (GGA-PBE) for K2AcZn2S4 after structural relaxation.

```
K2AcZn2S4
1.0
7.788 -2.192 0.000
7.788 2.192 0.000
-2.830 0.000 7.302
K Ac Zn S
2 1 2 4
Direct
0.133 0.133 0.071
0.867 0.867 0.929
0.000 0.000 0.500
0.320 0.320 0.499
0.680 0.680 0.501
0.208 0.208 0.662
0.472 0.472 0.736
0.528 0.528 0.264
0.792 0.792 0.338
```

**E_form (uncorrected)**: -1.1478 eV/atom
**Symmetry**: C2/m


Number 1: electronic total energy -57.67 eV per cell. Number 2: electronic total energy -54.18 eV per cell. Number 3: electronic total energy -21.51 eV per cell. Number 4: electronic total energy -35.69 eV per cell.